An optimized crystal structure of ZnS. Source: Alexandria via LeMat-Bulk, functional PBE-GGA.

Cell: 6.7937 3.9212 7.6346 Å, 90.00 105.36 90.00°
Space group C2/m (No. 12)
Symmetry-distinct sites (fractional):
1 Zn 0.2077 0.0000 0.1381 (multiplicity 4)
2 S 0.1034 0.0000 0.7875 (multiplicity 4)

Summary:
crystal system	monoclinic
total energy	-26.97	eV/cell

---

An optimized crystal structure of SrTa2Te. Source: Alexandria via LeMat-Bulk, functional PBE-GGA.

Cell: 3.3496 5.7426 10.4512 Å, 90.00 90.00 90.00°
Space group Imm2 (No. 44)
Symmetry-distinct sites (fractional):
1 Sr 0.0000 0.0000 0.0000 (multiplicity 2)
2 Ta 0.0000 0.0000 0.4974 (multiplicity 2)
3 Ta 0.0000 0.5000 0.7923 (multiplicity 2)
4 Te 0.0000 0.5000 0.2196 (multiplicity 2)

Summary:
energy above the most stable polymorph in this dataset	447.1	meV/atom
crystal system	orthorhombic

---

An optimized crystal structure of P2WSeS. Source: Alexandria via LeMat-Bulk, functional PBE-GGA.

Cell: 4.8172 4.8172 4.4816 Å, 90.00 90.00 90.00°
Space group P4/mmm (No. 123)
Symmetry-distinct sites (fractional):
1 P 0.0000 0.5000 0.0000 (multiplicity 2)
2 W 0.0000 0.0000 0.0000 (multiplicity 1)
3 Se 0.5000 0.5000 0.5000 (multiplicity 1)
4 S 0.0000 0.0000 0.5000 (multiplicity 1)

Summary:
energy above the most stable polymorph in this dataset	0.0	meV/atom
crystal system	tetragonal

---

An optimized crystal structure of TcPb2O. Source: Alexandria via LeMat-Bulk, functional PBE-GGA.

Cell: 6.6735 6.6735 7.3472 Å, 90.00 90.00 90.00°
Space group I-42d (No. 122)
Symmetry-distinct sites (fractional):
1 Tc 0.0000 0.0000 0.0000 (multiplicity 4)
2 Pb 0.2033 0.2500 0.6250 (multiplicity 8)
3 O 0.0000 0.0000 0.5000 (multiplicity 4)

Summary:
crystal system	tetragonal
total energy	-85.46	eV/cell

---

An optimized crystal structure of RuSeBr2. Source: Alexandria via LeMat-Bulk, functional PBE-GGA.

Cell: 3.2672 4.4050 6.5742 Å, 90.00 90.00 90.00°
Space group Pmmm (No. 47)
Symmetry-distinct sites (fractional):
1 Ru 0.0000 0.0000 0.0000 (multiplicity 1)
2 Se 0.5000 0.0000 0.5000 (multiplicity 1)
3 Br 0.0000 0.5000 0.5000 (multiplicity 1)
4 Br 0.5000 0.5000 0.0000 (multiplicity 1)

Summary:
energy above the most stable polymorph in this dataset	1003.2	meV/atom
crystal system	orthorhombic

---

An optimized crystal structure of TaNbSb3. Source: Alexandria via LeMat-Bulk, functional PBE-GGA.

Cell: 5.3188 5.3188 5.3188 Å, 90.00 90.00 90.00°
Space group Pm-3m (No. 221)
Symmetry-distinct sites (fractional):
1 Ta 0.0000 0.0000 0.0000 (multiplicity 1)
2 Nb 0.5000 0.5000 0.5000 (multiplicity 1)
3 Sb 0.0000 0.0000 0.5000 (multiplicity 3)

Summary:
crystal system	cubic
total energy	-29.07	eV/cell

---

An optimized crystal structure of AcEuHoAl. Source: Alexandria via LeMat-Bulk, functional PBE-GGA.

Cell: 7.9349 7.9349 7.9349 Å, 90.00 90.00 90.00°
Space group F-43m (No. 216)
Symmetry-distinct sites (fractional):
1 Ac 0.0000 0.0000 0.0000 (multiplicity 4)
2 Eu 0.2500 0.2500 0.7500 (multiplicity 4)
3 Ho 0.2500 0.2500 0.2500 (multiplicity 4)
4 Al 0.0000 0.0000 0.5000 (multiplicity 4)

Summary:
energy of formation	105	meV per atom
crystal system	cubic

---

An optimized crystal structure of Dy8GeAs4S3. Source: Alexandria via LeMat-Bulk, functional PBE-GGA.

Cell: 8.1093 8.1093 19.8134 Å, 90.00 90.00 120.00°
Space group R-3m (No. 166, hexagonal axes)
Symmetry-distinct sites (fractional):
1 Dy 0.0000 0.0000 0.2504 (multiplicity 6)
2 Dy 0.0012 0.5006 0.2493 (multiplicity 18)
3 Ge 0.0000 0.0000 0.5000 (multiplicity 3)
4 As 0.0000 0.0000 0.0000 (multiplicity 3)
5 As 0.0000 0.5000 0.0000 (multiplicity 9)
6 S 0.0000 0.5000 0.5000 (multiplicity 9)

Summary:
crystal system	trigonal
total energy	-297.24	eV/cell

---

An optimized crystal structure of HfMnS3. Source: Alexandria via LeMat-Bulk, functional PBE-GGA.

Cell: 4.8959 4.8959 4.8959 Å, 90.00 90.00 90.00°
Space group Pm-3m (No. 221)
Symmetry-distinct sites (fractional):
1 Hf 0.0000 0.0000 0.0000 (multiplicity 1)
2 Mn 0.5000 0.5000 0.5000 (multiplicity 1)
3 S 0.0000 0.0000 0.5000 (multiplicity 3)

Summary:
energy above the most stable polymorph in this dataset	675.9	meV/atom
crystal system	cubic

---

An optimized crystal structure of Ho4Au2N. Source: Alexandria via LeMat-Bulk, functional PBE-GGA.

Cell: 4.6922 4.6922 14.5488 Å, 90.00 90.00 90.00°
Space group I4/mmm (No. 139)
Symmetry-distinct sites (fractional):
1 Ho 0.0000 0.0000 0.1733 (multiplicity 4)
2 Ho 0.0000 0.5000 0.0000 (multiplicity 4)
3 Au 0.0000 0.0000 0.3687 (multiplicity 4)
4 N 0.0000 0.0000 0.0000 (multiplicity 2)

Summary:
crystal system	tetragonal
total energy	-79.42	eV/cell

---

An optimized crystal structure of Y2Ga3Os. Source: Alexandria via LeMat-Bulk, functional PBE-GGA.

Cell: 5.4605 5.4605 13.1559 Å, 90.00 90.00 120.00°
Space group R-3m (No. 166, hexagonal axes)
Symmetry-distinct sites (fractional):
1 Y 0.0000 0.0000 0.1274 (multiplicity 6)
2 Ga 0.0000 0.5000 0.0000 (multiplicity 9)
3 Os 0.0000 0.0000 0.5000 (multiplicity 3)

Summary:
energy of formation	-503	meV per atom
crystal system	trigonal

---

An optimized crystal structure of Nd5Dy3Er3. Source: Alexandria via LeMat-Bulk, functional PBE-GGA.

Cell: 11.2694 11.2694 3.4530 Å, 90.00 90.00 120.00°
Space group P-62m (No. 189)
Symmetry-distinct sites (fractional):
1 Nd 0.0000 0.6616 0.0000 (multiplicity 3)
2 Nd 0.3333 0.6667 0.0000 (multiplicity 2)
3 Dy 0.0000 0.4041 0.5000 (multiplicity 3)
4 Er 0.0000 0.1592 0.0000 (multiplicity 3)

Summary:
energy above the most stable polymorph in this dataset	0.0	meV/atom
energy of formation	316	meV per atom
crystal system	hexagonal

---

An optimized crystal structure of CrHgP. Source: Alexandria via LeMat-Bulk, functional PBE-GGA.

Cell: 3.0037 3.0037 12.0371 Å, 82.89 83.00 89.94°
Space group P-1 (No. 2)
Symmetry-distinct sites (fractional):
1 Cr 0.2151 0.2145 0.0690 (multiplicity 2)
2 Hg 0.4386 0.4399 0.6223 (multiplicity 2)
3 P 0.3239 0.3251 0.8499 (multiplicity 2)

Summary:
energy above the most stable polymorph in this dataset	0.0	meV/atom
energy of formation	-76	meV per atom
crystal system	triclinic

---

An optimized crystal structure of CrNi6Rh3. Source: Alexandria via LeMat-Bulk, functional PBE-GGA.

Cell: 7.2782 7.2782 16.4660 Å, 90.00 90.00 120.00°
Space group R-3m (No. 166, hexagonal axes)
Symmetry-distinct sites (fractional):
1 Cr 0.0000 0.0000 0.0000 (multiplicity 3)
2 Cr 0.0000 0.0000 0.5000 (multiplicity 3)
3 Ni 0.0787 0.5393 0.3092 (multiplicity 18)
4 Ni 0.1098 0.2195 0.8919 (multiplicity 18)
5 Rh 0.0653 0.5326 0.8974 (multiplicity 18)

Summary:
energy of formation	162	meV per atom
crystal system	trigonal

---

An optimized crystal structure of Dy4Er8Sc. Source: Alexandria via LeMat-Bulk, functional PBE-GGA.

Cell: 12.7818 7.3922 9.5040 Å, 90.00 116.50 90.00°
Space group C2/m (No. 12)
Symmetry-distinct sites (fractional):
1 Dy 0.0000 0.0000 0.0000 (multiplicity 2)
2 Dy 0.0000 0.5000 0.0000 (multiplicity 2)
3 Dy 0.2500 0.2500 0.0000 (multiplicity 4)
4 Er 0.0356 0.2187 0.3255 (multiplicity 8)
5 Er 0.2214 0.0000 0.6641 (multiplicity 4)
6 Er 0.2456 0.5000 0.6745 (multiplicity 4)
7 Sc 0.0000 0.5000 0.5000 (multiplicity 2)

Summary:
energy of formation	196	meV per atom
crystal system	monoclinic

---

An optimized crystal structure of Th2CdC. Source: Alexandria via LeMat-Bulk, functional PBE-GGA.

Cell: 3.6910 3.6910 25.2552 Å, 90.00 90.00 120.00°
Space group R3m (No. 160, hexagonal axes)
Symmetry-distinct sites (fractional):
1 Th 0.0000 0.0000 0.0000 (multiplicity 3)
2 Th 0.0000 0.0000 0.2182 (multiplicity 3)
3 Cd 0.0000 0.0000 0.4424 (multiplicity 3)
4 C 0.0000 0.0000 0.6102 (multiplicity 3)

Summary:
energy of formation	-233	meV per atom
crystal system	trigonal

---

An optimized crystal structure of FeP2. Source: Alexandria via LeMat-Bulk, functional PBE-GGA.

Cell: 2.7083 2.7083 11.0986 Å, 90.00 90.00 90.00°
Space group I4/mmm (No. 139)
Symmetry-distinct sites (fractional):
1 Fe 0.0000 0.0000 0.0000 (multiplicity 2)
2 P 0.0000 0.0000 0.3731 (multiplicity 4)

Summary:
energy of formation	-20	meV per atom
crystal system	tetragonal

---

An optimized crystal structure of La6Y5Mg. Source: Alexandria via LeMat-Bulk, functional PBE-GGA.

Cell: 5.2380 9.9650 15.7519 Å, 90.00 90.00 90.00°
Space group Immm (No. 71)
Symmetry-distinct sites (fractional):
1 La 0.0000 0.2458 0.0000 (multiplicity 4)
2 La 0.0000 0.2531 0.3326 (multiplicity 8)
3 Y 0.0000 0.0000 0.1699 (multiplicity 4)
4 Y 0.0000 0.0000 0.5000 (multiplicity 2)
5 Y 0.0000 0.5000 0.1648 (multiplicity 4)
6 Mg 0.0000 0.5000 0.5000 (multiplicity 2)

Summary:
energy of formation	19	meV per atom
crystal system	orthorhombic

---

An optimized crystal structure of YTaRe. Source: Alexandria via LeMat-Bulk, functional PBE-GGA.

Cell: 6.4721 6.4721 6.4721 Å, 90.00 90.00 90.00°
Space group F-43m (No. 216)
Symmetry-distinct sites (fractional):
1 Y 0.0000 0.0000 0.0000 (multiplicity 4)
2 Ta 0.0000 0.0000 0.5000 (multiplicity 4)
3 Re 0.2500 0.2500 0.2500 (multiplicity 4)

Summary:
energy above the most stable polymorph in this dataset	364.3	meV/atom
energy of formation	429	meV per atom
crystal system	cubic